1.
First-principles (meta-GGA SCAN) data for ZrSbAsSe2 at its PBEsol-relaxed geometry, as listed in Alexandria via LeMat-Bulk.

Properties
Formation energy without anion corrections (eV per atom): -0.09
Space group: P4/mmm (123)
DFT total energy (eV for the cell shown): -128.7
ΔE to the lowest computed polymorph (eV/atom): 0.000

Cell lengths 5.055, 5.055, 5.258 Å; angles 90.00, 90.00, 90.00 degrees
Positions (direct):
Zr 0.000 0.000 0.000
Sb 0.500 0.500 0.500
As 0.000 0.000 0.500
Se 0.000 0.500 0.000
Se 0.500 0.000 0.000



2.
First-principles (meta-GGA SCAN) data for SiSbAs4 at its PBEsol-relaxed geometry, as listed in Alexandria via LeMat-Bulk.

Properties
Formation energy without anion corrections (eV per atom): 0.70
Space group: F-43m (216)
DFT total energy (eV for the cell shown): -123.8

Cell lengths 5.533, 5.533, 5.533 Å; angles 60.00, 60.00, 60.00 degrees
Positions (direct):
Si 0.000 0.000 0.000
Sb 0.250 0.250 0.250
As 0.122 0.626 0.626
As 0.626 0.122 0.626
As 0.626 0.626 0.122
As 0.626 0.626 0.626



3.
First-principles (meta-GGA SCAN) data for Si2SbAs at its PBEsol-relaxed geometry, as listed in Alexandria via LeMat-Bulk.

Properties
Formation energy without anion corrections (eV per atom): 0.56
Space group: P4mm (99)
DFT total energy (eV for the cell shown): -75.3
ΔE to the lowest computed polymorph (eV/atom): 0.216

Cell lengths 3.203, 3.203, 7.226 Å; angles 90.00, 90.00, 90.00 degrees
Positions (direct):
Si 0.000 0.000 0.000
Si 0.500 0.500 0.173
Sb 0.500 0.500 0.704
As 0.000 0.000 0.380



4.
First-principles (meta-GGA SCAN) data for Si2SbAs at its PBEsol-relaxed geometry, as listed in Alexandria via LeMat-Bulk.

Properties
Formation energy without anion corrections (eV per atom): 0.72
Space group: Pmmm (47)
DFT total energy (eV for the cell shown): -74.6
ΔE to the lowest computed polymorph (eV/atom): 0.380

Cell lengths 3.388, 4.554, 4.843 Å; angles 90.00, 90.00, 90.00 degrees
Positions (direct):
Si 0.000 0.000 0.000
Si 0.500 0.000 0.500
Sb 0.000 0.500 0.500
As 0.500 0.500 0.000



5.
First-principles (meta-GGA SCAN) data for Si3SbAs at its PBEsol-relaxed geometry, as listed in Alexandria via LeMat-Bulk.

Properties
Formation energy without anion corrections (eV per atom): 1.66
Space group: Pm-3m (221)
DFT total energy (eV for the cell shown): -79.2

Cell lengths 5.054, 5.054, 5.054 Å; angles 90.00, 90.00, 90.00 degrees
Positions (direct):
Si 0.000 0.000 0.500
Si 0.000 0.500 0.000
Si 0.500 0.000 0.000
Sb 0.000 0.000 0.000
As 0.500 0.500 0.500



6.
First-principles (meta-GGA SCAN) data for Si2SbAs at its PBEsol-relaxed geometry, as listed in Alexandria via LeMat-Bulk.

Properties
Formation energy without anion corrections (eV per atom): 0.34
Space group: C2/m (12)
DFT total energy (eV for the cell shown): -152.2
ΔE to the lowest computed polymorph (eV/atom): 0.000

Cell lengths 6.606, 3.783, 6.630 Å; angles 90.00, 108.94, 90.00 degrees
Positions (direct):
Si 0.243 0.000 0.230
Si 0.257 0.500 0.770
Si 0.743 0.500 0.230
Si 0.757 0.000 0.770
Sb 0.000 0.000 0.500
Sb 0.500 0.500 0.500
As 0.000 0.500 0.000
As 0.500 0.000 0.000



7.
First-principles (meta-GGA SCAN) data for SnSb3As at its PBEsol-relaxed geometry, as listed in Alexandria via LeMat-Bulk.

Properties
Formation energy without anion corrections (eV per atom): 0.65
Space group: Pm-3m (221)
DFT total energy (eV for the cell shown): -164.7

Cell lengths 5.317, 5.317, 5.317 Å; angles 90.00, 90.00, 90.00 degrees
Positions (direct):
Sn 0.000 0.000 0.000
Sb 0.000 0.500 0.500
Sb 0.500 0.000 0.500
Sb 0.500 0.500 0.000
As 0.500 0.500 0.500



8.
First-principles (meta-GGA SCAN) data for SnSb2TeAs at its PBEsol-relaxed geometry, as listed in Alexandria via LeMat-Bulk.

Properties
Formation energy without anion corrections (eV per atom): 0.58
Space group: P4/mmm (123)
DFT total energy (eV for the cell shown): -165.0

Cell lengths 5.347, 5.347, 5.275 Å; angles 90.00, 90.00, 90.00 degrees
Positions (direct):
Sn 0.000 0.000 0.000
Sb 0.000 0.500 0.500
Sb 0.500 0.000 0.500
Te 0.500 0.500 0.000
As 0.500 0.500 0.500



9.
First-principles (meta-GGA SCAN) data for SnSbAs2W at its PBEsol-relaxed geometry, as listed in Alexandria via LeMat-Bulk.

Properties
Formation energy without anion corrections (eV per atom): 0.64
Space group: P4/mmm (123)
DFT total energy (eV for the cell shown): -180.1

Cell lengths 4.768, 4.768, 5.465 Å; angles 90.00, 90.00, 90.00 degrees
Positions (direct):
Sn 0.000 0.000 0.000
Sb 0.500 0.500 0.000
As 0.000 0.500 0.500
As 0.500 0.000 0.500
W 0.000 0.000 0.500



10.
First-principles (meta-GGA SCAN) data for SrSbAs2 at its PBEsol-relaxed geometry, as listed in Alexandria via LeMat-Bulk.

Properties
Formation energy without anion corrections (eV per atom): -0.50
Space group: Pm (6)
DFT total energy (eV for the cell shown): -101.9

Cell lengths 4.543, 4.063, 6.167 Å; angles 90.00, 110.60, 90.00 degrees
Positions (direct):
Sr 0.000 0.000 0.000
Sb 0.402 0.500 0.500
As 0.472 0.500 0.937
As 0.755 0.000 0.436



11.
First-principles (meta-GGA SCAN) data for SrSb3As at its PBEsol-relaxed geometry, as listed in Alexandria via LeMat-Bulk.

Properties
Formation energy without anion corrections (eV per atom): 1.32
Space group: Pm-3m (221)
DFT total energy (eV for the cell shown): -147.6
ΔE to the lowest computed polymorph (eV/atom): 1.302

Cell lengths 5.785, 5.785, 5.785 Å; angles 90.00, 90.00, 90.00 degrees
Positions (direct):
Sr 0.000 0.000 0.000
Sb 0.000 0.000 0.500
Sb 0.000 0.500 0.000
Sb 0.500 0.000 0.000
As 0.500 0.500 0.500



12.
First-principles (meta-GGA SCAN) data for SrSb3As at its PBEsol-relaxed geometry, as listed in Alexandria via LeMat-Bulk.

Properties
Formation energy without anion corrections (eV per atom): 0.02
Space group: Pm-3m (221)
DFT total energy (eV for the cell shown): -154.2
ΔE to the lowest computed polymorph (eV/atom): 0.000

Cell lengths 5.408, 5.408, 5.408 Å; angles 90.00, 90.00, 90.00 degrees
Positions (direct):
Sr 0.000 0.000 0.000
Sb 0.000 0.500 0.500
Sb 0.500 0.000 0.500
Sb 0.500 0.500 0.000
As 0.500 0.500 0.500



13.
First-principles (meta-GGA SCAN) data for Sr2SbAs at its PBEsol-relaxed geometry, as listed in Alexandria via LeMat-Bulk.

Properties
Formation energy without anion corrections (eV per atom): -0.93
Space group: I4/mmm (139)
DFT total energy (eV for the cell shown): -211.5

Cell lengths 5.197, 5.197, 8.560 Å; angles 90.00, 90.00, 90.00 degrees
Positions (direct):
Sr 0.000 0.500 0.250
Sr 0.000 0.500 0.750
Sr 0.500 0.000 0.250
Sr 0.500 0.000 0.750
Sb 0.000 0.000 0.000
Sb 0.500 0.500 0.500
As 0.000 0.000 0.500
As 0.500 0.500 0.000



14.
First-principles (meta-GGA SCAN) data for Sr2SbAs at its PBEsol-relaxed geometry, as listed in Alexandria via LeMat-Bulk.

Properties
Formation energy without anion corrections (eV per atom): -0.83
Space group: I-4m2 (119)
DFT total energy (eV for the cell shown): -210.6

Cell lengths 4.538, 4.538, 11.341 Å; angles 90.00, 90.00, 90.00 degrees
Positions (direct):
Sr 0.000 0.000 0.000
Sr 0.000 0.500 0.250
Sr 0.500 0.000 0.750
Sr 0.500 0.500 0.500
Sb 0.000 0.500 0.750
Sb 0.500 0.000 0.250
As 0.000 0.000 0.500
As 0.500 0.500 0.000



15.
First-principles (meta-GGA SCAN) data for Sr2SbAs at its PBEsol-relaxed geometry, as listed in Alexandria via LeMat-Bulk.

Properties
Formation energy without anion corrections (eV per atom): -0.93
Space group: P4/mmm (123)
DFT total energy (eV for the cell shown): -105.7

Cell lengths 5.815, 5.815, 3.399 Å; angles 90.00, 90.00, 90.00 degrees
Positions (direct):
Sr 0.000 0.500 0.000
Sr 0.500 0.000 0.000
Sb 0.000 0.000 0.500
As 0.500 0.500 0.500